Below is crystalline HfPaZnMo at its relaxed geometry, with properties calculated at the PBE-GGA level.

The calculation puts the total energy at -7.85 eV/atom. The value obtained for the formation energy from the elements is 4.1 kJ/mol of atoms. Its symmetry is F-43m (216). For the density of states at the Fermi level, the calculation gives 4.6 states/eV/cell. The total moment comes out at 0.0 μB per cell.

a b c (Å): 4.8330 4.8330 4.8330
angles (deg): 60.00 60.00 60.00
Closest atoms and distances in Å follow each position.
Positions (direct):
1 Pa 0.0000 0.0000 0.0000  4 Mo 2.96, 4 Zn 2.96
2 Hf 0.5000 0.5000 0.5000  4 Mo 2.96, 4 Zn 2.96
3 Mo 0.7500 0.7500 0.7500  4 Hf 2.96, 4 Pa 2.96
4 Zn 0.2500 0.2500 0.2500  4 Hf 2.96, 4 Pa 2.96

Below is crystalline HfMoPb at its relaxed geometry, with properties calculated at the PBE-GGA level.

The calculation puts the total energy at -7.93 eV/atom. The value obtained for the formation energy from the elements is 22.9 kJ/mol of atoms. Its symmetry is P-1 (2). For the density of states at the Fermi level, the calculation gives 4.3 states/eV/cell. The total moment comes out at 0.0 μB per cell. The value obtained for the offset from the most stable computed form is 0.1060 eV/atom.

a b c (Å): 5.1229 5.2793 5.8373
angles (deg): 101.87 104.91 118.10
Closest atoms and distances in Å follow each position.
Positions (direct):
1 Hf 0.0224 0.4288 0.7402  3 Mo 2.88-3.19, 5 Pb 2.98-3.11, 2 Hf 3.03-3.07
2 Pb 0.6298 0.8910 0.2298  5 Hf 2.98-3.11, 5 Mo 3.01-3.10
3 Mo 0.6773 0.7292 0.7080  1 Mo 2.49
4 Hf 0.9776 0.5712 0.2598  3 Mo 2.88-3.19, 5 Pb 2.98-3.11, 2 Hf 3.03-3.07
5 Pb 0.3702 0.1090 0.7702  5 Hf 2.98-3.11, 5 Mo 3.01-3.10
6 Mo 0.3227 0.2708 0.2920  1 Mo 2.49

Below is crystalline HfMoPb at its relaxed geometry, with properties calculated at the PBE-GGA level.

The calculation puts the total energy at -7.99 eV/atom. The value obtained for the formation energy from the elements is 16.4 kJ/mol of atoms. Its symmetry is Fdd2 (43). For the density of states at the Fermi level, the calculation gives 13.2 states/eV/cell. The total moment comes out at 0.0 μB per cell. The value obtained for the offset from the most stable computed form is 0.0389 eV/atom.

a b c (Å): 10.2118 5.3387 8.9355
angles (deg): 90.00 90.00 90.00
Closest atoms and distances in Å follow each position.
Positions (direct):
1 Mo 0.0000 0.0000 0.4125  5 Hf 2.83-3.13, 5 Pb 2.99-3.04
2 Mo 0.0000 0.5000 0.9125  5 Hf 2.83-3.13, 5 Pb 2.99-3.04
3 Hf 0.7500 0.7500 0.9795  5 Mo 2.83-3.13, 5 Pb 3.00-3.08
4 Mo 0.5000 0.0000 0.9125  5 Hf 2.83-3.13, 5 Pb 2.99-3.04
5 Pb 0.7500 0.7500 0.3245  5 Mo 2.99-3.04, 5 Hf 3.00-3.08
6 Hf 0.5000 0.5000 0.7295  5 Mo 2.83-3.13, 5 Pb 3.00-3.08
7 Hf 0.7500 0.2500 0.4795  5 Mo 2.83-3.13, 5 Pb 3.00-3.08
8 Mo 0.2500 0.7500 0.1625  5 Hf 2.83-3.13, 5 Pb 2.99-3.04
9 Mo 0.7500 0.7500 0.6625  5 Hf 2.83-3.13, 5 Pb 2.99-3.04
10 Pb 0.2500 0.2500 0.3245  5 Mo 2.99-3.04, 5 Hf 3.00-3.08
11 Pb 0.5000 0.5000 0.0745  5 Mo 2.99-3.04, 5 Hf 3.00-3.08
12 Mo 0.2500 0.2500 0.6625  5 Hf 2.83-3.13, 5 Pb 2.99-3.04
13 Pb 0.0000 0.0000 0.0745  5 Mo 2.99-3.04, 5 Hf 3.00-3.08
14 Hf 0.2500 0.2500 0.9795  5 Mo 2.83-3.13, 5 Pb 3.00-3.08
15 Mo 0.5000 0.5000 0.4125  5 Hf 2.83-3.13, 5 Pb 2.99-3.04
16 Hf 0.0000 0.0000 0.7295  5 Mo 2.83-3.13, 5 Pb 3.00-3.08
17 Pb 0.0000 0.5000 0.5745  5 Mo 2.99-3.04, 5 Hf 3.00-3.08
18 Hf 0.2500 0.7500 0.4795  5 Mo 2.83-3.13, 5 Pb 3.00-3.08
19 Hf 0.0000 0.5000 0.2295  5 Mo 2.83-3.13, 5 Pb 3.00-3.08
20 Pb 0.5000 0.0000 0.5745  5 Mo 2.99-3.04, 5 Hf 3.00-3.08
21 Pb 0.7500 0.2500 0.8245  5 Mo 2.99-3.04, 5 Hf 3.00-3.08
22 Hf 0.5000 0.0000 0.2295  5 Mo 2.83-3.13, 5 Pb 3.00-3.08
23 Mo 0.7500 0.2500 0.1625  5 Hf 2.83-3.13, 5 Pb 2.99-3.04
24 Pb 0.2500 0.7500 0.8245  5 Mo 2.99-3.04, 5 Hf 3.00-3.08

Below is crystalline HfMoPb2 at its relaxed geometry, with properties calculated at the PBE-GGA level.

The calculation puts the total energy at -6.33 eV/atom. The value obtained for the formation energy from the elements is 69.4 kJ/mol of atoms. Its symmetry is I-42d (122). For the density of states at the Fermi level, the calculation gives 3.7 states/eV/cell. The total moment comes out at 3.8 μB per cell. The value obtained for the offset from the most stable computed form is 0.2419 eV/atom.

a b c (Å): 7.9320 7.9320 6.3918
angles (deg): 51.65 51.65 90.00
Closest atoms and distances in Å follow each position.
Positions (direct):
1 Pb 0.6103 0.1250 0.2500  2 Mo 2.83, 2 Hf 2.99, 2 Pb 3.07
2 Pb 0.1397 0.6250 0.2500  2 Mo 2.83, 2 Hf 2.99, 2 Pb 3.07
3 Hf 0.7500 0.2500 0.5000  4 Pb 2.99, 2 Mo 3.07
4 Hf 0.0000 0.0000 0.0000  4 Pb 2.99, 2 Mo 3.07
5 Pb 0.3750 0.3897 0.7500  2 Mo 2.83, 2 Hf 2.99, 2 Pb 3.07
6 Mo 0.2500 0.7500 0.5000  4 Pb 2.83, 2 Hf 3.07
7 Pb 0.8750 0.8603 0.7500  2 Mo 2.83, 2 Hf 2.99, 2 Pb 3.07
8 Mo 0.5000 0.5000 0.0000  4 Pb 2.83, 2 Hf 3.07

Below is crystalline Hf3MoPb at its relaxed geometry, with properties calculated at the PBE-GGA level.

The calculation puts the total energy at -8.19 eV/atom. The value obtained for the formation energy from the elements is 66.4 kJ/mol of atoms. Its symmetry is Pm-3m (221). For the density of states at the Fermi level, the calculation gives 10.9 states/eV/cell. The total moment comes out at 0.0 μB per cell. The value obtained for the offset from the most stable computed form is 0.0000 eV/atom.

a b c (Å): 5.0562 5.0562 5.0562
angles (deg): 90.00 90.00 90.00
Closest atoms and distances in Å follow each position.
Positions (direct):
1 Hf 0.0000 0.5000 0.0000  2 Mo 2.53
2 Mo 0.0000 0.0000 0.0000  6 Hf 2.53
3 Hf 0.5000 0.0000 0.0000  2 Mo 2.53
4 Hf 0.0000 0.0000 0.5000  2 Mo 2.53
5 Pb 0.5000 0.5000 0.5000  12 Hf 3.58

Below is crystalline HfMoPb at its relaxed geometry, with properties calculated at the PBE-GGA level.

The calculation puts the total energy at -7.94 eV/atom. The value obtained for the formation energy from the elements is 21.3 kJ/mol of atoms. Its symmetry is P2_1/m (11). For the density of states at the Fermi level, the calculation gives 3.5 states/eV/cell. The total moment comes out at 0.0 μB per cell. The value obtained for the offset from the most stable computed form is 0.0898 eV/atom.

a b c (Å): 5.3340 3.3021 7.7254
angles (deg): 90.00 105.05 90.00
Closest atoms and distances in Å follow each position.
Positions (direct):
1 Hf 0.8764 0.7500 0.3260  3 Mo 2.78-3.00
2 Hf 0.1236 0.2500 0.6740  3 Mo 2.78-3.00
3 Pb 0.2709 0.7500 0.0505  2 Mo 3.06, 6 Pb 3.21-3.30, 4 Hf 3.26-3.38
4 Mo 0.3613 0.2500 0.3941  2 Mo 2.52, 1 Hf 2.78
5 Pb 0.7291 0.2500 0.9495  2 Mo 3.06, 6 Pb 3.21-3.30, 4 Hf 3.26-3.38
6 Mo 0.6387 0.7500 0.6059  2 Mo 2.52, 1 Hf 2.78

Below is crystalline HfMoPb at its relaxed geometry, with properties calculated at the PBE-GGA level.

The calculation puts the total energy at -7.97 eV/atom. The value obtained for the formation energy from the elements is 19.0 kJ/mol of atoms. Its symmetry is Amm2 (38). For the density of states at the Fermi level, the calculation gives 8.0 states/eV/cell. The total moment comes out at 0.0 μB per cell. The value obtained for the offset from the most stable computed form is 0.0655 eV/atom.

a b c (Å): 3.3858 4.6817 15.8123
angles (deg): 90.00 90.00 90.00
Closest atoms and distances in Å follow each position.
Positions (direct):
1 Pb 0.5000 0.5000 0.0021  4 Mo 2.92, 4 Hf 3.20-3.22
2 Hf 0.5000 0.0000 0.1404  6 Pb 3.02-3.20, 2 Mo 3.12
3 Pb 0.0000 0.0000 0.6958  2 Mo 2.94, 6 Hf 3.02-3.15
4 Hf 0.0000 0.0000 0.3289  4 Mo 2.90, 4 Pb 3.15-3.22
5 Mo 0.0000 0.5000 0.4745  2 Mo 2.62, 4 Pb 2.92
6 Mo 0.0000 0.0000 0.9745  2 Mo 2.62, 4 Pb 2.92
7 Mo 0.5000 0.5000 0.3479  2 Mo 2.62, 4 Hf 2.90
8 Mo 0.5000 0.0000 0.8479  2 Mo 2.62, 4 Hf 2.90
9 Pb 0.0000 0.5000 0.1958  2 Mo 2.94, 6 Hf 3.02-3.15
10 Pb 0.5000 0.0000 0.5021  4 Mo 2.92, 4 Hf 3.20-3.22
11 Hf 0.5000 0.5000 0.6404  6 Pb 3.02-3.20, 2 Mo 3.12
12 Hf 0.0000 0.5000 0.8289  4 Mo 2.90, 4 Pb 3.15-3.22

Below is crystalline HfMoPb at its relaxed geometry, with properties calculated at the PBE-GGA level.

The calculation puts the total energy at -7.97 eV/atom. The value obtained for the formation energy from the elements is 19.2 kJ/mol of atoms. Its symmetry is P1 (1). For the density of states at the Fermi level, the calculation gives 4.9 states/eV/cell. The total moment comes out at 0.0 μB per cell. The value obtained for the offset from the most stable computed form is 0.0672 eV/atom.

a b c (Å): 3.3135 5.6408 7.7486
angles (deg): 76.29 88.83 73.45
Closest atoms and distances in Å follow each position.
Positions (direct):
1 Pb 0.1743 0.9579 0.0352  1 Mo 3.05, 4 Hf 3.15-3.41, 4 Pb 3.31-3.37
2 Mo 0.9384 0.4775 0.5504  2 Mo 2.52-2.55, 2 Hf 2.80-2.81
3 Hf 0.6750 0.0010 0.6823  4 Mo 2.80-3.05, 2 Hf 3.12-3.13
4 Pb 0.5230 0.3414 0.2579  5 Mo 3.03-3.31, 2 Hf 3.17-3.36, 4 Pb 3.31-3.37
5 Mo 0.2634 0.8351 0.4396  2 Mo 2.52-2.55, 2 Hf 2.80-2.82
6 Hf 0.4081 0.5070 0.8372  2 Mo 2.80-2.81, 2 Hf 3.12-3.13